4
Lattice="3.655 0.000 0.000 0.000 3.769 0.000 0.000 0.000 3.802" Properties=species:S:1:pos:R:3 comment="VCoIrOs (GGA-PBE, relaxed)" sg=Pmmm vol_a3_per_atom=13.09 formation_enthalpy_0k_ev_per_atom=-0.254 pbc="T T T"
V 0.000 0.000 0.000
Co 0.000 1.885 1.901
Ir 1.827 0.000 1.901
Os 1.827 1.885 0.000